Entry 1:
This record from Alexandria describes a relaxed OsBr2Cl crystal. The functional is PBEsol.

Output
density: 6.0 g/cm³
formation energy without anion corrections: 46 meV per atom
total DFT energy (no corrections): -4.44 eV per atom
SG: Amm2
crystal system: orthorhombic
offset from the most stable computed form: 0 meV/atom

The structure in POSCAR format:
```
OsBr2Cl
1.0
3.641 0.000 0.000
0.000 2.414 6.081
0.000 -2.414 6.081
Os Br Cl
1 2 1
Cartesian
0.000 0.000 0.000
0.000 0.000 5.531
1.821 0.000 10.423
1.821 0.000 1.479
```

---

Entry 2:
This record from Alexandria describes a relaxed Au2IF crystal. The functional is PBEsol.

Output
density: 10.5 g/cm³
formation energy without anion corrections: -77 meV per atom
total DFT energy (no corrections): -2.96 eV per atom
SG: I-42d
crystal system: tetragonal

The structure in POSCAR format:
```
Au2IF
1.0
-2.320 2.320 7.897
2.320 -2.320 7.897
2.320 2.320 -7.897
Au I F
4 2 2
Cartesian
3.479 0.827 -1.974
0.827 1.160 1.974
-1.160 1.493 5.922
1.493 1.160 9.871
2.320 0.000 3.948
0.000 0.000 7.897
0.000 0.000 0.000
0.000 2.320 3.948
```

---

Entry 3:
This record from Alexandria describes a relaxed MnFe2Ag crystal. The functional is PBEsol.

Output
density: 9.0 g/cm³
total DFT energy (no corrections): -7.35 eV per atom
SG: I4/mmm
crystal system: tetragonal
offset from the most stable computed form: 0 meV/atom

The structure in POSCAR format:
```
MnFe2Ag
1.0
-1.815 1.815 3.831
1.815 -1.815 3.831
1.815 1.815 -3.831
Mn Fe Ag
1 2 1
Cartesian
0.000 0.000 0.000
1.815 0.000 1.916
0.000 1.815 1.916
0.000 0.000 3.831
```

---

Entry 4:
This record from Alexandria describes a relaxed Na2AlGe7O16 crystal. The functional is PBEsol.

Output
density: 3.7 g/cm³
formation energy without anion corrections: -1778 meV per atom
total DFT energy (no corrections): -6.60 eV per atom
SG: P1
crystal system: triclinic

The structure in POSCAR format:
```
Na2AlGe7O16
1.0
7.452 0.000 0.000
-2.268 7.563 0.000
-1.436 -4.050 6.686
Na Al Ge O
2 1 7 16
Cartesian
0.000 0.000 0.000
-0.010 1.873 3.382
1.356 2.757 0.671
1.847 -1.182 3.007
1.952 -3.006 5.541
1.663 5.929 0.352
3.411 3.414 3.047
3.961 0.751 4.578
5.595 3.004 0.524
5.962 -1.056 2.711
-0.324 2.300 0.979
0.224 -0.568 2.576
0.458 -2.599 6.310
-0.353 4.788 3.776
0.212 0.228 6.581
0.416 6.489 1.471
-0.058 2.793 5.539
2.032 2.677 2.300
2.400 0.023 4.186
3.395 -2.350 6.307
3.263 6.428 0.980
3.140 5.089 3.620
3.780 2.532 4.554
4.842 3.527 2.026
5.309 0.430 3.457
4.375 0.443 6.268
```

---

Which of these has the lowest density? Na2AlGe7O16

---

What is the total DFT energy (no corrections) in the first record? -4.44 eV per atom